Computed, not measured: crystalline YTe2Br at its relaxed geometry at the PBE level of DFT.

Calculated values
ΔE to the lowest computed polymorph in meV/atom: 185.2
Raw total energy in eV/f.u.: -18.08
Formation energy from raw total energies in eV per formula unit: -3.66

a = 4.102 Å, b = 4.102 Å, c = 7.058 Å
α = 90.00°, β = 90.00°, γ = 90.00°
Space group P4/mmm (No. 123)
Symmetry-distinct sites (fractional):
Y 0.000 0.000 0.000 [1 per cell]
Te 0.500 0.500 0.202 [2 per cell]
Br 0.000 0.000 0.500 [1 per cell]